Entry 1:
Computed, not measured: a geometry-optimized Ac8ZnCo3Br4 structure at the PBE-GGA level of DFT.

Computed properties:
total DFT energy (no corrections)	-4.6144	eV per atom
mass density	7.4	g cm⁻³
space group	R-3m (166)
spin magnetization	0.000	Bohr magnetons per cell
formation energy (no corrections)	-0.730	eV per atom

```
16
Lattice="8.665 0.000 0.000 0.000 9.595 0.658 -4.333 -4.340 6.125" Properties=species:S:1:pos:R:3 pbc="T T T"
Co -2.166 2.628 3.391
Co 2.166 2.628 3.391
Co 4.333 4.797 0.329
Ac 4.333 0.695 3.383
Ac 0.000 0.607 3.492
Ac -2.045 2.512 6.291
Ac 6.377 2.743 0.491
Ac 0.000 4.560 3.399
Ac 2.045 2.512 6.291
Ac 4.333 4.648 3.291
Ac 2.288 2.743 0.491
Br -2.166 -2.170 3.062
Br 2.166 -2.170 3.062
Br 0.000 0.000 0.000
Br 4.333 0.000 0.000
Zn 0.000 4.797 0.329
```

Entry 2:
Computed, not measured: a geometry-optimized Ac6ZnCo2Br3 structure at the PBE-GGA level of DFT.

Computed properties:
total DFT energy (no corrections)	-4.5026	eV per atom
mass density	7.3	g cm⁻³
space group	C2/m (12)
spin magnetization	0.000	Bohr magnetons per cell
formation energy (no corrections)	-0.740	eV per atom

```
12
Lattice="-6.142 3.168 -3.043 0.479 -7.514 0.580 -1.605 1.803 8.249" Properties=species:S:1:pos:R:3 pbc="T T T"
Br -3.634 -1.271 2.893
Br -5.855 2.312 1.677
Br -1.413 -4.855 4.108
Ac -0.511 -2.632 1.661
Ac -4.312 -2.715 -0.125
Ac -2.892 1.208 0.359
Ac -2.956 0.172 5.910
Ac -4.376 -3.751 5.426
Ac -6.756 0.090 4.124
Co -1.727 -3.954 -0.628
Co -3.935 -0.392 -1.836
Zn 0.000 0.000 0.000
```

Entry 3:
Computed, not measured: a geometry-optimized AcCrBr6 structure at the PBE-GGA level of DFT.

Computed properties:
total DFT energy (no corrections)	-4.2732	eV per atom
mass density	4.2	g cm⁻³
space group	C2/m (12)
spin magnetization	2.995	Bohr magnetons per cell
formation energy (no corrections)	-1.302	eV per atom

```
8
Lattice="-1.099 0.993 -6.734 -6.411 -2.459 -1.277 -5.716 4.652 0.639" Properties=species:S:1:pos:R:3 pbc="T T T"
Ac 0.000 0.000 0.000
Br -5.522 -1.102 -5.780
Br -5.523 0.220 -2.445
Br -3.409 1.644 -4.843
Br -9.817 1.543 -2.529
Br -7.703 2.966 -4.928
Br -1.988 -0.364 -2.231
Cr -3.755 -0.733 -4.005
```

- Which formula does entry 1 have?
  Ac8ZnCo3Br4

- Which formula does entry 1 have?
  Ac8ZnCo3Br4

- The highest total DFT energy (no corrections) belongs to which entry?
  AcCrBr6